This record from Alexandria describes a relaxed structure of TlVF3. The functional is PBE with a Hubbard U.

Output
**Symmetry**: P-1
**Energy**: -5.268 eV per atom
**Energy relative to the lowest polymorph listed for this composition**: 0.156 eV/atom

```
TlVF3
1.0
-0.955 -1.782 -6.666
-1.447 -3.757 1.133
-5.504 3.502 3.879
Tl F V
2 6 2
Direct
0.888 0.828 0.948 Tl
0.434 0.325 0.014 Tl
0.134 0.829 0.789 F
0.649 0.832 0.269 F
0.306 0.824 0.511 F
0.674 0.320 0.693 F
0.017 0.328 0.451 F
0.188 0.323 0.173 F
0.349 0.322 0.487 V
0.974 0.830 0.475 V
```